VASP calculation (GGA-PBEsol) on an optimized crystal structure of YHg2W.

extended XYZ file:
```
4
Lattice="-2.1549 -2.6925 -3.4387 2.6348 -1.8394 -3.6595 0.8430 -4.7912 -0.2254" Properties=species:S:1:pos:R:3 pbc="T T T"
Hg 0.3307 -2.3308 -1.8309
Hg 0.9922 -6.9923 -5.4927
Y 0.6615 -4.6615 -3.6618
W 0.0000 0.0000 0.0000
```

The energy above the most stable polymorph in this dataset comes out at 130 meV/atom. Its formation energy is 0.375 eV per atom.

=====

VASP calculation (GGA-PBEsol) on an optimized crystal structure of Y2HgW.

extended XYZ file:
```
4
Lattice="-2.2201 -2.1386 0.1678 2.9199 -2.7505 3.5768 -2.0214 4.5626 3.0077" Properties=species:S:1:pos:R:3 pbc="T T T"
W 0.8965 -0.5999 4.2156
Hg 0.0703 -2.1490 1.9399
Y -1.3220 -0.3576 6.3484
Y -1.9379 0.0090 2.8731
```

Its formation energy is 0.199 eV per atom.

=====

VASP calculation (GGA-PBEsol) on an optimized crystal structure of YHg2W.

extended XYZ file:
```
4
Lattice="3.0486 0.0000 0.0000 0.0000 4.2108 0.0000 0.0000 0.0000 6.2094" Properties=species:S:1:pos:R:3 pbc="T T T"
Hg 0.0000 0.0000 4.7897
Hg 0.0000 0.0000 1.4197
W 1.5243 2.1054 0.0000
Y 1.5243 2.1054 3.1047
```

The energy above the most stable polymorph in this dataset comes out at 0 meV/atom. Its formation energy is 0.245 eV per atom.

=====

VASP calculation (GGA-PBEsol) on an optimized crystal structure of ZnHgW.

extended XYZ file:
```
3
Lattice="-2.3357 -3.1566 -1.8962 -2.4948 -2.6250 2.4290 -4.3441 0.3223 -0.1994" Properties=species:S:1:pos:R:3 pbc="T T T"
W 0.0000 0.0000 0.0000
Zn -4.5873 -2.7296 0.1667
Hg -2.2937 -1.3648 0.0834
```

Its formation energy is 1.343 eV per atom.

=====

VASP calculation (GGA-PBEsol) on an optimized crystal structure of Zn3HgW.

extended XYZ file:
```
5
Lattice="-1.2228 -4.5292 0.7949 4.2313 -0.7862 2.0294 -1.8004 1.2284 4.2297" Properties=species:S:1:pos:R:3 pbc="T T T"
W 0.6041 -2.0435 3.5270
Zn -0.9002 0.6142 2.1148
Zn -0.6114 -2.2646 0.3975
Zn 2.1157 -0.3931 1.0147
Hg 0.0000 0.0000 0.0000
```

Its formation energy is 1.601 eV per atom.

=====

VASP calculation (GGA-PBEsol) on an optimized crystal structure of ZrHg2W.

extended XYZ file:
```
4
Lattice="-2.1467 3.3102 1.1748 0.1858 -1.2679 3.9120 3.7535 2.2398 0.5477" Properties=species:S:1:pos:R:3 pbc="T T T"
Zr 1.8767 1.1199 0.2738
Hg 0.0929 -0.6339 1.9560
Hg -1.0733 1.6551 0.5874
W 0.8963 2.1410 2.8172
```

Its formation energy is 0.237 eV per atom.